The following is a PBE-GGA calculation of a relaxed structure of MnMo2W, from Alexandria via LeMat-Bulk.

Cell lengths 2.691, 4.383, 5.166 Å; angles 90.00, 99.48, 90.00 degrees
Atoms (fractional coordinates):
Mn: 0.000 0.000 0.000
Mo: 0.502 0.000 0.502
Mo: 0.742 0.500 0.250
W: 0.255 0.500 0.758

Magnetization in Bohr magnetons per cell: 1.67
Final energy in eV/f.u.: -43.4
Space group: Pm (6)
Relative energy among the computed polymorphs in eV per atom: 0.035